GGA-PBE BeZnCoNi, relaxed; calculated total energy = -18.337 eV/f.u.; volume = 41.7 Å³/cell
1.0
-0.4753 -1.7521 3.4441
-1.8568 1.8443 2.8825
-3.5386 -1.1861 1.1088
Be Co Ni Zn
1 1 1 1
Cartesian
-4.4029 -0.8205 5.5766 Be
0.0000 0.0000 0.0000 Co
-2.9353 -0.5470 3.7177 Ni
-1.4676 -0.2735 1.8589 Zn

***

GGA-PBE BeZnCoNi, relaxed; calculated total energy = -17.789 eV/f.u.; volume = 42.4 Å³/cell
1.0
-3.6082 1.0707 1.0770
-1.4449 3.4499 -1.1558
-2.8772 0.1277 -2.6515
Be Co Ni Zn
1 1 1 1
Cartesian
0.0000 0.0000 0.0000 Be
-5.9477 3.4862 -2.0478 Co
-3.9652 2.3241 -1.3652 Ni
-1.9826 1.1621 -0.6826 Zn

***

> Which of these has the lowest volume?

number 1

***

> The highest calculated total energy belongs to which entry?

number 2

***

> What is the formula in the second record?

BeZnCoNi